The following is a PBE with a Hubbard U calculation of a relaxed RbCoTeO6 crystal, from Alexandria via LeMat-Bulk.

Computed properties:
crystal system = monoclinic
calculated total energy = -5.296 eV per atom

```
RbCoTeO6
1.0
2.5529 -4.4242 0.0000
2.5529 4.4242 0.0000
-0.0136 0.0000 6.4358
Rb Co Te O
1 1 1 6
direct
0.0000 0.0000 0.0000
0.3335 0.6665 0.5000
0.6667 0.3333 0.5000
0.0118 0.3981 0.3297
0.0129 0.6140 0.6703
0.3860 0.9871 0.3297
0.3872 0.3994 0.6705
0.6006 0.6128 0.3295
0.6019 0.9882 0.6703
```